Tl3Co5O12: optimized geometry, PBE+U.

Cell and atoms, written as CIF:
```
data_Tl3Co5O12
_chemical_formula_sum 'Tl24 Co40 O96'
_cell_length_a 12.3881
_cell_length_b 12.3881
_cell_length_c 12.3881
_cell_angle_alpha 90.00
_cell_angle_beta 90.00
_cell_angle_gamma 90.00
_space_group_name_H-M_alt 'I a -3 d'
_space_group_IT_number 230
_space_group_name_Hall '-I 4bd 2c 3'
loop_
_atom_site_label
_atom_site_fract_x
_atom_site_fract_y
_atom_site_fract_z
Tl1 0.0000 0.2500 0.1250
Co1 0.0000 0.0000 0.0000
Co2 0.0000 0.2500 0.3750
O1 0.0271 0.0443 0.6457
```

uncorrected energy = -5.375 eV/atom
density of states at the Fermi level = 27.9 states/eV per cell